This record from the Alexandria database describes KCoTe2 after structural relaxation. The functional is PBE.

Summary:
Energy relative to the elements, uncorrected (eV/atom): -0.34
Theoretical density (Mg/m³): 4.79
Calculated total energy (eV per cell): -63.42

a b c (Å): 7.886 7.886 7.871
angles (deg): 90.00 90.00 90.00
Space group I-42d (No. 122)
Inequivalent atoms, fractional coordinates:
K 0.000 0.000 0.000 x4
Co 0.000 0.000 0.500 x4
Te 0.137 0.250 0.625 x8

This record from the Alexandria database describes Ac2GaPd6 after structural relaxation. The functional is PBE.

Summary:
Theoretical density (Mg/m³): 10.53
Energy of formation from the pure elements (eV per atom): -0.818
Calculated total energy (eV per cell): -149.30

a b c (Å): 6.0204 6.0204 17.5136
angles (deg): 90.00 90.00 120.00
Space group R-3m (No. 166, hexagonal axes)
Inequivalent atoms, fractional coordinates:
Ac 0.0000 0.0000 0.2358 x6
Ga 0.0000 0.0000 0.5000 x3
Pd 0.0117 0.5059 0.7318 x18

This record from the Alexandria database describes Mg2CdW after structural relaxation. The functional is PBE.

Summary:
Theoretical density (Mg/m³): 7.79
Energy of formation from the pure elements (eV per atom): 0.463
Calculated total energy (eV per cell): -15.21

a b c (Å): 4.198 4.198 4.169
angles (deg): 90.00 90.00 90.00
Space group P4/mmm (No. 123)
Inequivalent atoms, fractional coordinates:
Mg 0.000 0.500 0.000 x2
Cd 0.000 0.000 0.500 x1
W 0.500 0.500 0.500 x1

This record from the Alexandria database describes Tl3As2Se4 after structural relaxation. The functional is PBE.

Summary:
Energy relative to the elements, uncorrected (eV/atom): -0.18
Theoretical density (Mg/m³): 6.21
Calculated total energy (eV per cell): -127.98

a b c (Å): 13.733 12.324 6.875
angles (deg): 90.00 97.54 90.00
Space group C2/c (No. 15)
Inequivalent atoms, fractional coordinates:
Tl 0.000 0.142 0.250 x4
Tl 0.126 0.380 0.867 x8
As 0.189 0.133 0.640 x8
Se 0.138 0.360 0.356 x8
Se 0.158 0.072 0.961 x8

This record from the Alexandria database describes PmPuCl6 after structural relaxation. The functional is PBE.

Summary:
Energy relative to the elements, uncorrected (eV/atom): -2.05
Theoretical density (Mg/m³): 3.85
Calculated total energy (eV per cell): -139.75

a b c (Å): 6.8368 6.8368 19.2228
angles (deg): 90.00 90.00 120.00
Space group R-3 (No. 148, hexagonal axes)
Inequivalent atoms, fractional coordinates:
Pm 0.0000 0.0000 0.0000 x3
Pu 0.0000 0.0000 0.5000 x3
Cl 0.0032 0.6497 0.2510 x18

This record from the Alexandria database describes Tm6CuAu5 after structural relaxation. The functional is PBE.

Summary:
Theoretical density (Mg/m³): 12.89
Energy of formation from the pure elements (eV per atom): -0.794
Calculated total energy (eV per cell): -113.68

a b c (Å): 5.022 15.078 7.015
angles (deg): 90.00 90.00 90.00
Space group Cmmm (No. 65)
Inequivalent atoms, fractional coordinates:
Tm 0.000 0.000 0.248 x4
Tm 0.000 0.335 0.248 x8
Cu 0.000 0.500 0.000 x2
Au 0.000 0.161 0.000 x4
Au 0.000 0.169 0.500 x4
Au 0.000 0.500 0.500 x2

This record from the Alexandria database describes La2CuSi3Pt4 after structural relaxation. The functional is PBE.

Summary:
Energy relative to the elements, uncorrected (eV/atom): -1.03
Theoretical density (Mg/m³): 10.77
Calculated total energy (eV per cell): -64.66

a b c (Å): 4.331 4.331 9.910
angles (deg): 90.00 90.00 90.00
Space group P-4m2 (No. 115)
Inequivalent atoms, fractional coordinates:
La 0.000 0.500 0.240 x2
Cu 0.500 0.500 0.000 x1
Si 0.000 0.000 0.000 x1
Si 0.000 0.500 0.627 x2
Pt 0.000 0.000 0.500 x1
Pt 0.000 0.500 0.869 x2
Pt 0.500 0.500 0.500 x1

This record from the Alexandria database describes Sb4Mo3 after structural relaxation. The functional is PBE.

Summary:
Energy relative to the elements, uncorrected (eV/atom): 0.11
Theoretical density (Mg/m³): 8.27
Calculated total energy (eV per cell): -96.40

a b c (Å): 3.274 3.274 29.029
angles (deg): 90.00 90.00 90.00
Space group I4/mmm (No. 139)
Inequivalent atoms, fractional coordinates:
Sb 0.000 0.000 0.058 x4
Sb 0.000 0.000 0.336 x4
Mo 0.000 0.000 0.227 x4
Mo 0.000 0.000 0.500 x2

This record from the Alexandria database describes Cr2ReHPd after structural relaxation. The functional is PBE.

Summary:
Theoretical density (Mg/m³): 11.86
Calculated total energy (eV per cell): -39.51

a b c (Å): 3.828 3.828 3.799
angles (deg): 90.00 90.00 90.00
Space group P4/mmm (No. 123)
Inequivalent atoms, fractional coordinates:
Cr 0.000 0.500 0.000 x2
Re 0.000 0.000 0.500 x1
H 0.000 0.000 0.000 x1
Pd 0.500 0.500 0.500 x1

This record from the Alexandria database describes Pu2Ga4Pd5 after structural relaxation. The functional is PBE.

Summary:
Theoretical density (Mg/m³): 10.25
Energy of formation from the pure elements (eV per atom): -0.564
Calculated total energy (eV per cell): -291.74

a b c (Å): 5.666 9.510 15.628
angles (deg): 90.00 90.00 90.00
Space group Fmmm (No. 69)
Inequivalent atoms, fractional coordinates:
Pu 0.000 0.000 0.124 x8
Ga 0.000 0.155 0.369 x16
Pd 0.000 0.000 0.500 x4
Pd 0.250 0.250 0.000 x8
Pd 0.250 0.250 0.250 x8

This record from the Alexandria database describes PrDy2Ho4 after structural relaxation. The functional is PBE.

Summary:
Theoretical density (Mg/m³): 8.37
Energy of formation from the pure elements (eV per atom): 0.125
Calculated total energy (eV per cell): -62.84

a b c (Å): 6.078 6.570 11.525
angles (deg): 90.00 103.99 90.00
Space group P2_1/m (No. 11)
Inequivalent atoms, fractional coordinates:
Pr 0.043 0.250 0.364 x2
Dy 0.156 0.250 0.950 x2
Dy 0.397 0.750 0.509 x2
Ho 0.146 0.250 0.665 x2
Ho 0.282 0.750 0.923 x2
Ho 0.347 0.509 0.210 x4

This record from the Alexandria database describes ReSbAs2 after structural relaxation. The functional is PBE.

Summary:
Energy relative to the elements, uncorrected (eV/atom): 0.16
Theoretical density (Mg/m³): 9.45
Calculated total energy (eV per cell): -25.22

a b c (Å): 3.090 3.090 8.430
angles (deg): 90.00 90.00 90.00
Space group P4/mmm (No. 123)
Inequivalent atoms, fractional coordinates:
Re 0.000 0.000 0.000 x1
Sb 0.000 0.000 0.500 x1
As 0.500 0.500 0.178 x2